Material: Hg3C
Method: DFT, PBE
State: optimized geometry

Computed properties:
Space group: I4/mmm (139)
Crystal system: tetragonal
Energy relative to the elements (eV/atom): 0.7936

Cell: 8.2405 8.2405 8.2405 Å, 142.46 142.46 54.14°
Sites, in units of the cell vectors:
Hg (0.2500, 0.7500, 0.5000)
Hg (0.5000, 0.0000, 0.5000)
Hg (0.1237, 0.1237, 0.0000)
Hg (0.7500, 0.2500, 0.5000)
Hg (0.8763, 0.8763, 0.0000)
Hg (0.0000, 0.5000, 0.5000)
C (0.5446, 0.5446, 0.0000)
C (0.4554, 0.4554, 0.0000)

***

Material: HgC
Method: DFT, PBE
State: optimized geometry

Computed properties:
Space group: P-62m (189)
Crystal system: hexagonal
Energy relative to the elements (eV/atom): 2.3453

Cell: 5.8517 5.8517 3.2594 Å, 90.00 90.00 120.00°
Sites, in units of the cell vectors:
Hg (0.3333, 0.6667, 0.5000)
Hg (0.0000, 0.0000, 0.0000)
Hg (0.6667, 0.3333, 0.5000)
C (0.3821, 0.0000, 0.0000)
C (0.6179, 0.6179, 0.0000)
C (0.0000, 0.3821, 0.0000)

***

Material: Hg5C
Method: DFT, PBE
State: optimized geometry

Computed properties:
Space group: P-62m (189)
Crystal system: hexagonal
Energy relative to the elements (eV/atom): 1.0715

Cell: 5.2592 5.2592 5.5264 Å, 90.00 90.00 120.00°
Sites, in units of the cell vectors:
Hg (0.6667, 0.3333, 0.5000)
Hg (0.3333, 0.6667, 0.5000)
Hg (0.6752, 0.0000, 0.0000)
Hg (0.0000, 0.6752, 0.0000)
Hg (0.3248, 0.3248, 0.0000)
C (0.0000, 0.0000, 0.5000)

***

Material: HgC
Method: DFT, PBE
State: optimized geometry

Computed properties:
Space group: P6_3/mmc (194)
Crystal system: hexagonal
Energy relative to the elements (eV/atom): 0.9513

Cell: 6.2960 6.2960 5.3491 Å, 90.00 90.00 120.00°
Sites, in units of the cell vectors:
C (0.3333, 0.6667, 0.1339)
C (0.6667, 0.3333, 0.8661)
C (0.6667, 0.3333, 0.6339)
C (0.3333, 0.6667, 0.3661)
Hg (0.6667, 0.3333, 0.2500)
Hg (0.3333, 0.6667, 0.7500)
Hg (0.0000, 0.0000, 0.7500)
Hg (0.0000, 0.0000, 0.2500)

***

Material: HgC4
Method: DFT, PBE
State: optimized geometry

Computed properties:
Space group: C2/m (12)
Crystal system: monoclinic
Energy relative to the elements (eV/atom): 1.4599

Cell: 4.4401 4.4401 6.7897 Å, 68.27 68.27 37.66°
Sites, in units of the cell vectors:
C (0.7214, 0.7214, 0.5584)
C (0.6196, 0.6196, 0.7664)
C (0.3804, 0.3804, 0.2336)
C (0.2786, 0.2786, 0.4416)
Hg (0.0000, 0.0000, 0.0000)

***

Material: HgC
Method: DFT, PBE
State: optimized geometry

Computed properties:
Space group: Cmcm (63)
Crystal system: orthorhombic
Energy relative to the elements (eV/atom): 0.5988

Cell: 6.1845 6.1845 2.6491 Å, 90.00 90.00 120.11°
Sites, in units of the cell vectors:
Hg (0.8334, 0.1666, 0.7500)
Hg (0.1666, 0.8334, 0.2500)
C (0.5000, 0.5000, 0.7500)
C (0.5000, 0.5000, 0.2500)

***

Material: HgC
Method: DFT, PBE
State: optimized geometry

Computed properties:
Space group: Imma (74)
Crystal system: orthorhombic
Energy relative to the elements (eV/atom): 0.5942

Cell: 6.2223 6.2223 6.2223 Å, 155.40 121.27 64.64°
Sites, in units of the cell vectors:
Hg (0.8337, 0.0837, 0.2500)
Hg (0.1663, 0.9163, 0.7500)
C (0.5010, 0.7510, 0.2500)
C (0.4990, 0.2490, 0.7500)

***

Material: HgC
Method: DFT, PBE
State: optimized geometry

Computed properties:
Space group: Fmm2 (42)
Crystal system: orthorhombic
Energy relative to the elements (eV/atom): 2.3209

Cell: 4.1509 5.1850 6.1972 Å, 90.00 90.00 90.00°
Sites, in units of the cell vectors:
C (0.5000, 0.0000, 0.7767)
C (0.0000, 0.5000, 0.7767)
C (0.5000, 0.5000, 0.2767)
C (0.0000, 0.0000, 0.2767)
Hg (0.5000, 0.0000, 0.4019)
Hg (0.0000, 0.0000, 0.9019)
Hg (0.5000, 0.5000, 0.9019)
Hg (0.0000, 0.5000, 0.4019)

***

Material: Hg4C3
Method: DFT, PBE
State: optimized geometry

Computed properties:
Space group: P-43m (215)
Crystal system: cubic
Energy relative to the elements (eV/atom): 1.9221

Cell: 5.3843 5.3843 5.3843 Å, 90.00 90.00 90.00°
Sites, in units of the cell vectors:
C (0.5000, 0.0000, 0.5000)
C (0.5000, 0.5000, 0.0000)
C (0.0000, 0.5000, 0.5000)
Hg (0.7142, 0.2858, 0.2858)
Hg (0.7142, 0.7142, 0.7142)
Hg (0.2858, 0.7142, 0.2858)
Hg (0.2858, 0.2858, 0.7142)

***

Material: HgC
Method: DFT, PBE
State: optimized geometry

Computed properties:
Space group: Pnma (62)
Crystal system: orthorhombic
Energy relative to the elements (eV/atom): 2.2854

Cell: 3.2561 6.2151 6.6364 Å, 90.00 90.00 90.00°
Sites, in units of the cell vectors:
Hg (0.7500, 0.1734, 0.7982)
Hg (0.2500, 0.3266, 0.2982)
Hg (0.2500, 0.8266, 0.2018)
Hg (0.7500, 0.6734, 0.7018)
C (0.2500, 0.8840, 0.8513)
C (0.7500, 0.1160, 0.1487)
C (0.2500, 0.3840, 0.6487)
C (0.7500, 0.6160, 0.3513)

***

Material: Hg5C
Method: DFT, PBE
State: optimized geometry

Computed properties:
Space group: P6/mmm (191)
Crystal system: hexagonal
Energy relative to the elements (eV/atom): 1.2158

Cell: 5.8495 5.8495 6.0527 Å, 90.00 90.00 120.00°
Site moments in Bohr magnetons follow the coordinates.
Sites, in units of the cell vectors:
Hg (0.3333, 0.6667, 0.0000)  0.02
Hg (0.6667, 0.3333, 0.0000)  0.02
Hg (0.5000, 0.5000, 0.5000)  0.01
Hg (0.0000, 0.5000, 0.5000)  0.01
Hg (0.5000, 0.0000, 0.5000)  0.01
C (0.0000, 0.0000, 0.0000)  0.95

***

Material: HgC
Method: DFT, PBE
State: optimized geometry

Computed properties:
Space group: I-43m (217)
Crystal system: cubic
Energy relative to the elements (eV/atom): 2.2668

Cell: 6.9974 6.9974 6.9974 Å, 90.00 90.00 90.00°
Sites, in units of the cell vectors:
C (0.8541, 0.8541, 0.1459)
C (0.6459, 0.6459, 0.6459)
C (0.8541, 0.1459, 0.8541)
C (0.1459, 0.1459, 0.1459)
C (0.1459, 0.8541, 0.8541)
C (0.6459, 0.3541, 0.3541)
C (0.3541, 0.6459, 0.3541)
C (0.3541, 0.3541, 0.6459)
Hg (0.1822, 0.1822, 0.8178)
Hg (0.8178, 0.1822, 0.1822)
Hg (0.3178, 0.6822, 0.6822)
Hg (0.6822, 0.3178, 0.6822)
Hg (0.3178, 0.3178, 0.3178)
Hg (0.1822, 0.8178, 0.1822)
Hg (0.8178, 0.8178, 0.8178)
Hg (0.6822, 0.6822, 0.3178)

***

Material: Hg3C
Method: DFT, PBE
State: optimized geometry

Computed properties:
Space group: C2/m (12)
Crystal system: monoclinic
Energy relative to the elements (eV/atom): 1.1805

Cell: 3.6786 3.6786 7.4567 Å, 75.74 75.74 59.62°
Sites, in units of the cell vectors:
Hg (0.5000, 0.5000, 0.5000)
Hg (0.7258, 0.7258, 0.8223)
Hg (0.2742, 0.2742, 0.1777)
C (0.0000, 0.0000, 0.0000)

***

Across the entries above, N(E_F) takes the values 0.33, 0.60, 0.34, 0.43, 0.15, 0.19, 0.40, 0.60, 0.68, 0.47, 0.62, 0.65, 0.40 states/eV/atom, respectively.